1.
# GeBiRu2I (PBE, optimized geometry)
data_GeBiRu2I
_chemical_formula_sum 'Ge1 Bi1 Ru2 I1'
_cell_length_a 4.844
_cell_length_b 5.940
_cell_length_c 4.844
_cell_angle_alpha 90.00
_cell_angle_beta 90.00
_cell_angle_gamma 90.00
_symmetry_space_group_name_H-M 'P 1'
_symmetry_Int_Tables_number 1
_symmetry_space_group_name_Hall 'P 1'
loop_
_atom_site_label
_atom_site_type_symbol
_atom_site_fract_x
_atom_site_fract_y
_atom_site_fract_z
I1 I 0.000 0.000 0.000
Ru1 Ru 0.000 0.000 0.500
Ru2 Ru 0.500 0.000 0.000
Ge1 Ge 0.500 0.500 0.500
Bi1 Bi 0.000 0.500 0.000
# Crystal system ... tetragonal
# Formation energy from raw total energies ... 1.666 eV/atom


2.
# CoTe2IrI (PBE, optimized geometry)
data_CoTe2IrI
_chemical_formula_sum 'Co1 Te2 Ir1 I1'
_cell_length_a 5.212
_cell_length_b 5.212
_cell_length_c 5.560
_cell_angle_alpha 90.00
_cell_angle_beta 90.00
_cell_angle_gamma 90.00
_symmetry_space_group_name_H-M 'P 1'
_symmetry_Int_Tables_number 1
_symmetry_space_group_name_Hall 'P 1'
loop_
_atom_site_label
_atom_site_type_symbol
_atom_site_fract_x
_atom_site_fract_y
_atom_site_fract_z
I1 I 0.000 0.000 0.500
Co1 Co 0.500 0.500 0.500
Ir1 Ir 0.000 0.000 0.000
Te1 Te 0.000 0.500 0.000
Te2 Te 0.500 0.000 0.000
# Crystal system ... tetragonal
# Polymorph energy (0 for the lowest one) ... 0 meV per atom
# Formation energy from raw total energies ... 1.026 eV/atom


3.
# Mg2GaPtO6 (PBE, optimized geometry)
data_Mg2GaPtO6
_chemical_formula_sum 'Mg2 Ga1 Pt1 O6'
_cell_length_a 5.175
_cell_length_b 5.175
_cell_length_c 5.468
_cell_angle_alpha 61.76
_cell_angle_beta 61.76
_cell_angle_gamma 60.01
_symmetry_space_group_name_H-M 'P 1'
_symmetry_Int_Tables_number 1
_symmetry_space_group_name_Hall 'P 1'
loop_
_atom_site_label
_atom_site_type_symbol
_atom_site_fract_x
_atom_site_fract_y
_atom_site_fract_z
Mg1 Mg 0.526 0.526 0.421
Mg2 Mg 0.020 0.020 0.940
Ga1 Ga 0.811 0.811 0.566
Pt1 Pt 0.322 0.322 0.034
O1 O 0.598 0.205 0.261
O2 O 0.205 0.936 0.261
O3 O 0.936 0.598 0.261
O4 O 0.429 0.713 0.757
O5 O 0.713 0.101 0.757
O6 O 0.101 0.429 0.757
# Crystal system ... trigonal
# Formation energy from raw total energies ... -1.644 eV/atom


4.
# HoErTm2Bi4 (PBE, optimized geometry)
data_HoErTm2Bi4
_chemical_formula_sum 'Ho1 Er1 Tm2 Bi4'
_cell_length_a 4.444
_cell_length_b 7.690
_cell_length_c 7.690
_cell_angle_alpha 109.46
_cell_angle_beta 90.00
_cell_angle_gamma 90.00
_symmetry_space_group_name_H-M 'P 1'
_symmetry_Int_Tables_number 1
_symmetry_space_group_name_Hall 'P 1'
loop_
_atom_site_label
_atom_site_type_symbol
_atom_site_fract_x
_atom_site_fract_y
_atom_site_fract_z
Ho1 Ho 0.000 0.000 0.000
Er1 Er 0.500 0.500 0.000
Tm1 Tm 0.500 0.000 0.500
Tm2 Tm 0.000 0.500 0.500
Bi1 Bi 0.500 0.251 0.252
Bi2 Bi 0.500 0.749 0.748
Bi3 Bi 0.000 0.250 0.748
Bi4 Bi 0.000 0.750 0.252
# Crystal system ... monoclinic
# DFT formation energy ... -0.803 eV/atom


5.
# SrTl2Sb2 (PBE, optimized geometry)
data_SrTl2Sb2
_chemical_formula_sum 'Sr2 Tl4 Sb4'
_cell_length_a 8.750
_cell_length_b 8.750
_cell_length_c 4.107
_cell_angle_alpha 90.00
_cell_angle_beta 90.00
_cell_angle_gamma 90.00
_symmetry_space_group_name_H-M 'P 1'
_symmetry_Int_Tables_number 1
_symmetry_space_group_name_Hall 'P 1'
loop_
_atom_site_label
_atom_site_type_symbol
_atom_site_fract_x
_atom_site_fract_y
_atom_site_fract_z
Sb1 Sb 0.168 0.668 0.500
Sb2 Sb 0.668 0.832 0.500
Sb3 Sb 0.832 0.332 0.500
Sb4 Sb 0.332 0.168 0.500
Tl1 Tl 0.372 0.872 0.000
Tl2 Tl 0.872 0.628 0.000
Tl3 Tl 0.628 0.128 0.000
Tl4 Tl 0.128 0.372 0.000
Sr1 Sr 0.000 0.000 0.000
Sr2 Sr 0.500 0.500 0.000
# Crystal system ... tetragonal
# Formation energy from raw total energies ... -0.205 eV/atom


6.
# La2AlPb (PBE, optimized geometry)
data_La2AlPb
_chemical_formula_sum 'La2 Al1 Pb1'
_cell_length_a 6.404
_cell_length_b 6.404
_cell_length_c 5.017
_cell_angle_alpha 66.84
_cell_angle_beta 66.84
_cell_angle_gamma 39.06
_symmetry_space_group_name_H-M 'P 1'
_symmetry_Int_Tables_number 1
_symmetry_space_group_name_Hall 'P 1'
loop_
_atom_site_label
_atom_site_type_symbol
_atom_site_fract_x
_atom_site_fract_y
_atom_site_fract_z
Pb1 Pb 0.534 0.534 0.466
Al1 Al 0.219 0.219 0.281
La1 La 0.988 0.988 0.013
La2 La 0.759 0.759 0.740
# Crystal system ... monoclinic
# DFT formation energy ... -0.449 eV/atom


7.
# LiScTlCl6 (PBE, optimized geometry)
data_LiScTlCl6
_chemical_formula_sum 'Li1 Sc1 Tl1 Cl6'
_cell_length_a 6.590
_cell_length_b 6.590
_cell_length_c 6.146
_cell_angle_alpha 90.00
_cell_angle_beta 90.00
_cell_angle_gamma 60.00
_symmetry_space_group_name_H-M 'P 1'
_symmetry_Int_Tables_number 1
_symmetry_space_group_name_Hall 'P 1'
loop_
_atom_site_label
_atom_site_type_symbol
_atom_site_fract_x
_atom_site_fract_y
_atom_site_fract_z
Li1 Li 0.333 0.333 0.500
Sc1 Sc 0.667 0.667 0.500
Tl1 Tl 0.000 0.000 0.000
Cl1 Cl 0.993 0.365 0.272
Cl2 Cl 0.365 0.993 0.728
Cl3 Cl 0.641 0.365 0.728
Cl4 Cl 0.993 0.641 0.728
Cl5 Cl 0.365 0.641 0.272
Cl6 Cl 0.641 0.993 0.272
# Crystal system ... trigonal
# Formation energy from raw total energies ... -1.544 eV/atom


8.
# Ba2TmAl3Ga12 (PBE, optimized geometry)
data_Ba2TmAl3Ga12
_chemical_formula_sum 'Ba2 Tm1 Al3 Ga12'
_cell_length_a 11.038
_cell_length_b 11.038
_cell_length_c 11.038
_cell_angle_alpha 36.10
_cell_angle_beta 36.10
_cell_angle_gamma 36.10
_symmetry_space_group_name_H-M 'P 1'
_symmetry_Int_Tables_number 1
_symmetry_space_group_name_Hall 'P 1'
loop_
_atom_site_label
_atom_site_type_symbol
_atom_site_fract_x
_atom_site_fract_y
_atom_site_fract_z
Ba1 Ba 0.645 0.645 0.645
Ba2 Ba 0.355 0.355 0.355
Tm1 Tm 0.000 0.000 0.000
Al1 Al 0.500 0.000 0.000
Al2 Al 0.000 0.500 0.000
Al3 Al 0.000 0.000 0.500
Ga1 Ga 0.412 0.412 0.815
Ga2 Ga 0.933 0.933 0.359
Ga3 Ga 0.359 0.933 0.933
Ga4 Ga 0.815 0.412 0.412
Ga5 Ga 0.933 0.359 0.933
Ga6 Ga 0.412 0.815 0.412
Ga7 Ga 0.588 0.588 0.185
Ga8 Ga 0.067 0.067 0.641
Ga9 Ga 0.641 0.067 0.067
Ga10 Ga 0.185 0.588 0.588
Ga11 Ga 0.067 0.641 0.067
Ga12 Ga 0.588 0.185 0.588
# Crystal system ... trigonal
# DFT formation energy ... -0.125 eV/atom


9.
# PtBrCl2 (PBE, optimized geometry)
data_PtBrCl2
_chemical_formula_sum 'Pt1 Br1 Cl2'
_cell_length_a 4.838
_cell_length_b 4.838
_cell_length_c 4.838
_cell_angle_alpha 60.00
_cell_angle_beta 60.00
_cell_angle_gamma 60.00
_symmetry_space_group_name_H-M 'P 1'
_symmetry_Int_Tables_number 1
_symmetry_space_group_name_Hall 'P 1'
loop_
_atom_site_label
_atom_site_type_symbol
_atom_site_fract_x
_atom_site_fract_y
_atom_site_fract_z
Br1 Br 0.000 0.000 0.000
Pt1 Pt 0.500 0.500 0.500
Cl1 Cl 0.250 0.250 0.250
Cl2 Cl 0.750 0.750 0.750
# Crystal system ... cubic
# Polymorph energy (0 for the lowest one) ... 1172 meV per atom
# Formation energy from raw total energies ... 0.891 eV/atom


10.
# ZnFe2H2 (PBE, optimized geometry)
data_ZnFe2H2
_chemical_formula_sum 'Zn1 Fe2 H2'
_cell_length_a 3.414
_cell_length_b 3.414
_cell_length_c 4.712
_cell_angle_alpha 68.76
_cell_angle_beta 68.76
_cell_angle_gamma 90.00
_symmetry_space_group_name_H-M 'P 1'
_symmetry_Int_Tables_number 1
_symmetry_space_group_name_Hall 'P 1'
loop_
_atom_site_label
_atom_site_type_symbol
_atom_site_fract_x
_atom_site_fract_y
_atom_site_fract_z
H1 H 0.333 0.333 0.334
H2 H 0.667 0.667 0.666
Zn1 Zn 0.000 0.000 0.000
Fe1 Fe 0.750 0.250 0.500
Fe2 Fe 0.250 0.750 0.500
# Crystal system ... tetragonal
# Polymorph energy (0 for the lowest one) ... 109 meV per atom


11.
# Cd2RePb (PBE, optimized geometry)
data_Cd2RePb
_chemical_formula_sum 'Cd2 Re1 Pb1'
_cell_length_a 2.948
_cell_length_b 2.948
_cell_length_c 10.845
_cell_angle_alpha 90.00
_cell_angle_beta 90.00
_cell_angle_gamma 112.51
_symmetry_space_group_name_H-M 'P 1'
_symmetry_Int_Tables_number 1
_symmetry_space_group_name_Hall 'P 1'
loop_
_atom_site_label
_atom_site_type_symbol
_atom_site_fract_x
_atom_site_fract_y
_atom_site_fract_z
Pb1 Pb 0.500 0.500 0.250
Re1 Re 0.500 0.500 0.750
Cd1 Cd 0.000 0.000 0.967
Cd2 Cd 0.000 0.000 0.533
# Crystal system ... orthorhombic
# DFT formation energy ... 0.649 eV/atom


12.
# TbPr2NdY6 (PBE, optimized geometry)
data_TbPr2NdY6
_chemical_formula_sum 'Tb2 Pr4 Nd2 Y12'
_cell_length_a 9.974
_cell_length_b 8.803
_cell_length_c 8.803
_cell_angle_alpha 117.52
_cell_angle_beta 95.60
_cell_angle_gamma 95.60
_symmetry_space_group_name_H-M 'P 1'
_symmetry_Int_Tables_number 1
_symmetry_space_group_name_Hall 'P 1'
loop_
_atom_site_label
_atom_site_type_symbol
_atom_site_fract_x
_atom_site_fract_y
_atom_site_fract_z
Tb1 Tb 0.250 0.984 0.016
Tb2 Tb 0.750 0.016 0.984
Pr1 Pr 0.456 0.811 0.715
Pr2 Pr 0.044 0.285 0.189
Pr3 Pr 0.544 0.189 0.285
Pr4 Pr 0.956 0.715 0.811
Nd1 Nd 0.250 0.403 0.597
Nd2 Nd 0.750 0.597 0.403
Y1 Y 0.056 0.120 0.742
Y2 Y 0.444 0.258 0.880
Y3 Y 0.944 0.880 0.258
Y4 Y 0.556 0.742 0.120
Y5 Y 0.315 0.975 0.420
Y6 Y 0.185 0.580 0.025
Y7 Y 0.685 0.025 0.580
Y8 Y 0.815 0.420 0.975
Y9 Y 0.119 0.702 0.496
Y10 Y 0.381 0.504 0.298
Y11 Y 0.881 0.298 0.504
Y12 Y 0.619 0.496 0.702
# Crystal system ... monoclinic
# DFT formation energy ... 0.116 eV/atom


no.,total moment (μB/atom),raw total energy (eV/atom)
1,0.454,-4.054
2,0.558,-3.734
3,0.000,-5.845
4,0.000,-5.004
5,0.000,-3.137
6,0.000,-4.776
7,0.000,-3.954
8,0.000,-3.229
9,0.000,-1.960
10,0.861,-4.836
11,0.000,-3.847
12,0.000,-5.658